[1]
A relaxed structure of DyZr5, computed with GGA-PBE.

Values from the calculation:
For the energy relative to the elements, the calculation gives 0.547 eV/f.u.

abc: 11.830 3.827 6.810
angles: 90.00 108.10 90.00
Space group C2/m (No. 12)
Unique sites:
Dy 0.000 0.000 0.000 [2 per cell]
Zr 0.000 0.000 0.500 [2 per cell]
Zr 0.165 0.500 0.365 [4 per cell]
Zr 0.182 0.500 0.816 [4 per cell]

[2]
A relaxed structure of CuTcF3, computed with GGA-PBE.

Values from the calculation:
The value obtained for the energy above the most stable polymorph in this dataset is 0.00 kcal/mol of atoms.

abc: 4.230 4.230 4.230
angles: 90.00 90.00 90.00
Space group Pm-3m (No. 221)
Unique sites:
Cu 0.000 0.000 0.000 [1 per cell]
Tc 0.500 0.500 0.500 [1 per cell]
F 0.000 0.500 0.500 [3 per cell]

[3]
A relaxed structure of CaYErTm, computed with GGA-PBE.

Values from the calculation:
For the energy relative to the elements, the calculation gives 0.698 eV/f.u.

abc: 8.082 8.082 8.082
angles: 90.00 90.00 90.00
Space group F-43m (No. 216)
Unique sites:
Ca 0.000 0.000 0.000 [4 per cell]
Y 0.250 0.250 0.250 [4 per cell]
Er 0.250 0.250 0.750 [4 per cell]
Tm 0.000 0.000 0.500 [4 per cell]

| no. | electronic total energy (eV for the cell shown) |
| --- | --- |
| 1 | -93.591 |
| 2 | -23.997 |
| 3 | -67.209 |